Material: Ba2Br2F
Method: DFT, PBE
State: relaxed

- Excess energy over the best structure of this formula in the dataset: 0.0 kJ per mole of atoms
- Total DFT energy (no corrections): -4.0733 eV/atom
- Calculated density: 4.68 g/cm3
- E_form (uncorrected): -11.3 eV/f.u.

Cell: 7.934 7.934 5.115 Å, 90.00 90.00 90.00°
Space group P4/mbm (No. 127)
Unique sites:
Ba 0.177 0.323 0.000 x4
Br 0.150 0.650 0.500 x4
F 0.000 0.000 0.000 x2

Material: ScAlH2Rh
Method: DFT, PBE
State: relaxed

- Total DFT energy (no corrections): -4.8163 eV/atom
- Calculated density: 3.93 g/cm3

Cell: 3.532 3.532 5.987 Å, 90.00 90.00 90.00°
Space group P4/mmm (No. 123)
Unique sites:
Sc 0.000 0.000 0.000 x1
Al 0.000 0.000 0.500 x1
H 0.000 0.500 0.000 x2
Rh 0.500 0.500 0.500 x1

Material: Nb2FeH6
Method: DFT, PBE
State: relaxed

- Total DFT energy (no corrections): -5.5162 eV/atom
- Calculated density: 6.40 g/cm3

Cell: 3.072 4.451 9.399 Å, 90.00 90.00 90.00°
Space group Immm (No. 71)
Unique sites:
Nb 0.000 0.000 0.162 x4
Fe 0.000 0.000 0.500 x2
H 0.000 0.226 0.343 x8
H 0.000 0.283 0.000 x4

Material: SmPaIrAu
Method: DFT, PBE
State: relaxed

- Total DFT energy (no corrections): -7.0939 eV/atom
- Calculated density: 14.21 g/cm3
- Calculated formation energy: -505 meV per atom

Cell: 7.114 7.114 7.114 Å, 90.00 90.00 90.00°
Space group F-43m (No. 216)
Unique sites:
Sm 0.000 0.000 0.000 x4
Pa 0.000 0.000 0.500 x4
Ir 0.250 0.250 0.750 x4
Au 0.250 0.250 0.250 x4

Material: TiCr5
Method: DFT, PBE
State: relaxed

- Total DFT energy (no corrections): -9.3321 eV/atom
- Calculated density: 6.97 g/cm3
- Calculated formation energy: 3 meV per atom

Cell: 4.134 12.261 2.896 Å, 90.00 90.00 90.00°
Space group Cmmm (No. 65)
Unique sites:
Ti 0.000 0.000 0.000 x2
Cr 0.000 0.173 0.500 x4
Cr 0.000 0.332 0.000 x4
Cr 0.000 0.500 0.500 x2

Material: Li3HgTe2
Method: DFT, PBE
State: relaxed

- Total DFT energy (no corrections): -2.6832 eV/atom
- Calculated density: 5.00 g/cm3
- E_form (uncorrected): -3.8 eV/f.u.

Cell: 7.142 13.550 6.547 Å, 90.00 90.00 90.00°
Space group Ibam (No. 72)
Unique sites:
Li 0.000 0.000 0.250 x4
Li 0.000 0.281 0.250 x8
Hg 0.000 0.500 0.000 x4
Te 0.192 0.145 0.000 x8

Material: Na3Fe4P4
Method: DFT, PBE
State: relaxed

- Total DFT energy (no corrections): -5.8483 eV/atom
- Calculated density: 4.19 g/cm3
- Calculated formation energy: -444 meV per atom

Cell: 6.907 6.907 6.907 Å, 90.00 90.00 90.00°
Space group I-43m (No. 217)
Unique sites:
Na 0.000 0.000 0.500 x6
Fe 0.133 0.133 0.133 x8
P 0.183 0.183 0.817 x8

Material: Ba2AsOs
Method: DFT, PBE
State: relaxed

- Total DFT energy (no corrections): -4.5327 eV/atom
- Calculated density: 7.58 g/cm3
- Calculated formation energy: 399 meV per atom

Cell: 5.202 5.202 8.740 Å, 90.00 90.00 90.00°
Space group I4/mmm (No. 139)
Unique sites:
Ba 0.000 0.500 0.250 x4
As 0.000 0.000 0.000 x2
Os 0.000 0.000 0.500 x2

Material: CaReTe2
Method: DFT, PBE
State: relaxed

- Excess energy over the best structure of this formula in the dataset: 14.7 kJ per mole of atoms
- Total DFT energy (no corrections): -5.2454 eV/atom
- Calculated density: 8.16 g/cm3
- E_form (uncorrected): -0.2 eV/f.u.

Cell: 3.426 4.162 13.738 Å, 90.00 90.00 90.00°
Space group Imm2 (No. 44)
Unique sites:
Ca 0.000 0.000 0.000 x2
Re 0.000 0.500 0.731 x2
Te 0.000 0.000 0.384 x2
Te 0.000 0.500 0.166 x2

Material: TbSiPd2
Method: DFT, PBE
State: relaxed

- Total DFT energy (no corrections): -6.0827 eV/atom
- Calculated density: 9.27 g/cm3
- E_form (uncorrected): -3.9 eV/f.u.

Cell: 7.362 7.000 5.558 Å, 90.00 90.00 90.00°
Space group Pnma (No. 62)
Unique sites:
Tb 0.028 0.250 0.141 x4
Si 0.123 0.750 0.359 x4
Pd 0.177 0.052 0.594 x8

Material: Cs2In4SnBi3
Method: DFT, PBE
State: relaxed

- Total DFT energy (no corrections): -3.0170 eV/atom
- Calculated density: 6.47 g/cm3
- Calculated formation energy: -186 meV per atom

Cell: 5.257 5.257 13.666 Å, 90.00 90.00 90.00°
Space group P-4m2 (No. 115)
Unique sites:
Cs 0.000 0.500 0.245 x2
In 0.000 0.000 0.500 x1
In 0.000 0.500 0.872 x2
In 0.500 0.500 0.500 x1
Sn 0.500 0.500 0.000 x1
Bi 0.000 0.000 0.000 x1
Bi 0.000 0.500 0.631 x2

Material: Pr2GdH4
Method: DFT, PBE
State: relaxed

- Total DFT energy (no corrections): -5.5578 eV/atom
- Calculated density: 6.46 g/cm3

Cell: 4.113 4.113 13.474 Å, 90.00 90.00 90.00°
Space group I4/mmm (No. 139)
Unique sites:
Pr 0.000 0.000 0.163 x4
Gd 0.000 0.000 0.500 x2
H 0.000 0.000 0.335 x4
H 0.000 0.500 0.000 x4